1.
8
Lattice="3.843 0.000 0.000 0.000 3.843 0.000 0.000 0.000 7.822" Properties=species:S:1:pos:R:3 comment="FeIrW2 | Alexandria via LeMat-Bulk | PBE | optimized geometry" delta_e_f_ev_per_atom=0.04 pbc="T T T"
Fe 0.000 0.000 0.000
Fe 1.921 1.921 3.911
Ir 0.000 1.921 1.955
Ir 1.921 0.000 5.866
W 0.000 0.000 3.911
W 0.000 1.921 5.866
W 1.921 0.000 1.955
W 1.921 1.921 0.000


2.
19
Lattice="4.545 2.624 4.331 -4.545 2.624 4.331 0.000 -5.248 4.331" Properties=species:S:1:pos:R:3 comment="Pa2Zn16Ge | Alexandria via LeMat-Bulk | PBE | optimized geometry" delta_e_f_ev_per_atom=-0.10 pbc="T T T"
Pa 0.000 0.000 0.000
Pa 0.000 0.000 4.305
Zn 0.000 -2.500 2.328
Zn -2.165 1.250 2.328
Zn -2.196 -1.268 6.491
Zn 0.000 -2.713 6.341
Zn -2.349 1.356 6.341
Zn -1.398 -2.414 8.662
Zn -2.789 -0.004 8.662
Zn 2.165 1.250 2.328
Zn 0.000 0.000 7.419
Zn 2.196 -1.268 6.491
Zn 0.000 2.536 6.491
Zn 1.398 -2.414 8.662
Zn -1.391 2.418 8.662
Zn 2.349 1.356 6.341
Zn 2.789 -0.004 8.662
Zn 1.391 2.418 8.662
Ge 0.000 0.000 10.029


3.
16
Lattice="7.105 0.000 0.000 0.000 7.105 0.000 0.000 0.000 7.105" Properties=species:S:1:pos:R:3 comment="PmGeSbPt | Alexandria via LeMat-Bulk | PBE | optimized geometry" raw_formation_energy_ev_per_atom=-0.46 pbc="T T T"
Pm 0.000 0.000 0.000
Pm 0.000 3.553 3.553
Pm 3.553 0.000 3.553
Pm 3.553 3.553 0.000
Ge 1.776 1.776 5.329
Ge 1.776 5.329 1.776
Ge 5.329 1.776 1.776
Ge 5.329 5.329 5.329
Sb 0.000 0.000 3.553
Sb 0.000 3.553 0.000
Sb 3.553 0.000 0.000
Sb 3.553 3.553 3.553
Pt 1.776 1.776 1.776
Pt 1.776 5.329 5.329
Pt 5.329 1.776 5.329
Pt 5.329 5.329 1.776


4.
20
Lattice="9.892 0.000 0.000 0.000 9.892 0.000 0.000 0.000 3.955" Properties=species:S:1:pos:R:3 comment="Ac2Zn2Pd5Rh | Alexandria via LeMat-Bulk | PBE | optimized geometry" delta_e_f_ev_per_atom=-0.49 pbc="T T T"
Ac 1.854 3.092 0.000
Ac 3.092 8.039 0.000
Ac 6.800 1.854 0.000
Ac 8.039 6.800 0.000
Zn 1.091 6.037 0.000
Zn 3.855 1.091 0.000
Zn 6.037 8.801 0.000
Zn 8.801 3.855 0.000
Pd 0.000 4.946 1.978
Pd 0.583 7.839 1.978
Pd 2.054 0.583 1.978
Pd 2.892 5.529 1.978
Pd 4.364 2.892 1.978
Pd 4.946 0.000 1.978
Pd 5.529 7.000 1.978
Pd 7.000 4.364 1.978
Pd 7.839 9.310 1.978
Pd 9.310 2.054 1.978
Rh 0.000 0.000 0.000
Rh 4.946 4.946 0.000


| no. | V (Å³/f.u.) |
| --- | --- |
| 1 | 57.7 |
| 2 | 310.0 |
| 3 | 89.7 |
| 4 | 193.5 |